1.
{"formula": "BaAs3O", "functional": "GGA-PBE", "state": "optimized geometry", "lattice_angstrom": [[4.726, 0.000, 0.000], [0.000, 4.726, 0.000], [0.000, 0.000, 4.726]], "species": ["Ba", "As", "As", "As", "O"], "frac_coords": [[0.000, 0.000, 0.000], [0.000, 0.500, 0.500], [0.500, 0.000, 0.500], [0.500, 0.500, 0.000], [0.500, 0.500, 0.500]], "final_energy_ev_per_atom": -4.391, "relative_energy_ev_per_atom": 0.000, "dos_ef_per_ev_fu": 3.27, "space_group": "No. 221"}



2.
{"formula": "BaAsO3", "functional": "GGA-PBE", "state": "optimized geometry", "lattice_angstrom": [[5.102, -5.574, 0.000], [5.102, 5.574, 0.000], [-2.074, 0.000, 6.691]], "species": ["Ba", "Ba", "Ba", "Ba", "As", "As", "As", "As", "O", "O", "O", "O", "O", "O", "O", "O", "O", "O", "O", "O"], "frac_coords": [[0.102, 0.898, 0.750], [0.317, 0.683, 0.250], [0.683, 0.317, 0.750], [0.898, 0.102, 0.250], [0.207, 0.379, 0.734], [0.379, 0.207, 0.234], [0.621, 0.793, 0.766], [0.793, 0.621, 0.266], [0.008, 0.223, 0.651], [0.144, 0.580, 0.855], [0.223, 0.008, 0.151], [0.294, 0.358, 0.417], [0.358, 0.294, 0.917], [0.420, 0.856, 0.645], [0.580, 0.144, 0.355], [0.642, 0.706, 0.083], [0.706, 0.642, 0.583], [0.777, 0.992, 0.849], [0.856, 0.420, 0.145], [0.992, 0.777, 0.349]], "final_energy_ev_per_atom": -6.213, "dos_ef_per_ev_fu": 1.30, "space_group": "No. 15"}



3.
{"formula": "Ba2As6O11", "functional": "GGA-PBE", "state": "optimized geometry", "lattice_angstrom": [[6.756, 0.000, 0.000], [0.586, 7.302, 0.000], [0.653, 2.390, 7.188]], "species": ["Ba", "Ba", "As", "As", "As", "As", "As", "As", "O", "O", "O", "O", "O", "O", "O", "O", "O", "O", "O"], "frac_coords": [[0.000, 0.000, 0.000], [0.283, 0.575, 0.775], [0.184, 0.558, 0.297], [0.473, 0.063, 0.613], [0.502, 0.911, 0.243], [0.712, 0.426, 0.112], [0.825, 0.444, 0.590], [0.932, 0.151, 0.486], [0.005, 0.347, 0.761], [0.082, 0.604, 0.082], [0.268, 0.811, 0.246], [0.357, 0.920, 0.816], [0.372, 0.162, 0.162], [0.480, 0.873, 0.492], [0.515, 0.291, 0.026], [0.591, 0.510, 0.278], [0.746, 0.017, 0.667], [0.827, 0.182, 0.260], [0.969, 0.642, 0.432]], "final_energy_ev_per_atom": -5.942, "relative_energy_ev_per_atom": 0.262, "dos_ef_per_ev_fu": 0.00, "space_group": "No. 1"}



Q: Which formula does entry 2 have?
A: BaAsO3



Q: Number 1 is which compound?
A: BaAs3O